Entry 1:
! PBE-GGA Hf3IrN, optimized geometry; values from VASP
&SYSTEM
  ibrav = 0, nat = 5, ntyp = 3
/
ATOMIC_SPECIES
Hf 178.49 Hf.upf
N 14.01 N.upf
Ir 192.22 Ir.upf
CELL_PARAMETERS angstrom
3.688 0.000 0.000
0.000 3.008 -6.387
0.000 3.008 6.387
ATOMIC_POSITIONS crystal
Hf 0.000 0.531 0.469
Hf 0.500 0.442 0.065
N 0.000 0.360 0.640
Ir 0.500 0.360 0.640
Hf 0.500 0.935 0.558
! Crystal system   orthorhombic
! Calculated volume   142 Å³ per cell



Entry 2:
! PBE-GGA Hf4IrN, optimized geometry; values from VASP
&SYSTEM
  ibrav = 0, nat = 12, ntyp = 3
/
ATOMIC_SPECIES
Hf 178.49 Hf.upf
Ir 192.22 Ir.upf
N 14.01 N.upf
CELL_PARAMETERS angstrom
-2.416 -5.289 -2.418
-1.564 -1.802 5.503
-4.694 3.498 -0.189
ATOMIC_POSITIONS crystal
Hf 0.809 0.160 0.392
Hf 0.387 0.859 0.167
Hf 0.191 0.840 0.608
Ir 0.000 0.000 0.000
Ir 0.500 0.500 0.000
N 0.000 0.500 0.500
Hf 0.113 0.359 0.833
Hf 0.887 0.641 0.167
N 0.500 0.000 0.500
Hf 0.691 0.660 0.608
Hf 0.309 0.340 0.392
Hf 0.613 0.141 0.833
! Crystal system   monoclinic
! Calculated volume   218 Å³ per cell



Entry 3:
! PBE-GGA HfIr3N, optimized geometry; values from VASP
&SYSTEM
  ibrav = 0, nat = 5, ntyp = 3
/
ATOMIC_SPECIES
Ir 192.22 Ir.upf
Hf 178.49 Hf.upf
N 14.01 N.upf
CELL_PARAMETERS angstrom
4.152 0.000 0.000
0.000 4.152 0.000
0.000 0.000 4.152
ATOMIC_POSITIONS crystal
Ir 0.000 0.000 0.500
Hf 0.500 0.500 0.500
N 0.000 0.000 0.000
Ir 0.500 0.000 0.000
Ir 0.000 0.500 0.000
! Crystal system   cubic
! Calculated volume   72 Å³ per cell



| no. | formation energy (no corrections) (eV/f.u.) |
| --- | --- |
| 1 | 3.6 |
| 2 | -4.7 |
| 3 | 0.3 |